[1]
# Ho5Sb4 GGA-PBE relaxed
data_Ho5Sb4
_chemical_formula_sum 'Ho10 Sb8'
_space_group_name_H-M_alt 'I 4/m'
_space_group_IT_number 87
_space_group_name_Hall '-I 4'
_cell_length_a 9.598
_cell_length_b 9.598
_cell_length_c 6.107
_cell_angle_alpha 90.00
_cell_angle_beta 90.00
_cell_angle_gamma 90.00
loop_
_atom_site_label
_atom_site_type_symbol
_atom_site_fract_x
_atom_site_fract_y
_atom_site_fract_z
Ho1 Ho 0.000 0.000 0.000
Ho2 Ho 0.102 0.295 0.500
Sb1 Sb 0.097 0.300 0.000
# Theoretical density, g/cm3: 7.74
# Formation energy (no corrections), eV/atom: -0.879


[2]
# LiCa2ScTe4 GGA-PBE relaxed
data_LiCa2ScTe4
_chemical_formula_sum 'Li1 Ca2 Sc1 Te4'
_space_group_name_H-M_alt 'P 1 2/m 1'
_space_group_IT_number 10
_space_group_name_Hall '-P 2y'
_cell_length_a 7.507
_cell_length_b 4.358
_cell_length_c 7.537
_cell_angle_alpha 90.00
_cell_angle_beta 108.72
_cell_angle_gamma 90.00
loop_
_atom_site_label
_atom_site_type_symbol
_atom_site_fract_x
_atom_site_fract_y
_atom_site_fract_z
Li1 Li 0.000 0.000 0.000
Ca1 Ca 0.500 0.000 0.500
Ca2 Ca 0.500 0.500 0.000
Sc1 Sc 0.000 0.500 0.500
Te1 Te 0.227 0.000 0.741
Te2 Te 0.231 0.500 0.250
# Theoretical density, g/cm3: 4.57
# Formation energy (no corrections), eV/atom: -1.367


[3]
# KEuCl2 GGA-PBE relaxed
data_KEuCl2
_chemical_formula_sum 'K3 Eu3 Cl6'
_space_group_name_H-M_alt 'R -3 m'
_space_group_IT_number 166
_space_group_name_Hall '-R 3 2"'
_cell_length_a 4.5366
_cell_length_b 4.5366
_cell_length_c 28.3852
_cell_angle_alpha 90.00
_cell_angle_beta 90.00
_cell_angle_gamma 120.00
loop_
_atom_site_label
_atom_site_type_symbol
_atom_site_fract_x
_atom_site_fract_y
_atom_site_fract_z
K1 K 0.0000 0.0000 0.0000
Eu1 Eu 0.0000 0.0000 0.5000
Cl1 Cl 0.0000 0.0000 0.1198
# Theoretical density, g/cm3: 2.58
# Formation energy (no corrections), eV/atom: -1.723


[4]
# Na3NbF GGA-PBE relaxed
data_Na3NbF
_chemical_formula_sum 'Na3 Nb1 F1'
_space_group_name_H-M_alt 'P m -3 m'
_space_group_IT_number 221
_space_group_name_Hall '-P 4 2 3'
_cell_length_a 4.871
_cell_length_b 4.871
_cell_length_c 4.871
_cell_angle_alpha 90.00
_cell_angle_beta 90.00
_cell_angle_gamma 90.00
loop_
_atom_site_label
_atom_site_type_symbol
_atom_site_fract_x
_atom_site_fract_y
_atom_site_fract_z
Na1 Na 0.000 0.000 0.500
Nb1 Nb 0.500 0.500 0.500
F1 F 0.000 0.000 0.000
# Theoretical density, g/cm3: 2.60
# Formation energy (no corrections), eV/atom: -0.142


[5]
# PrNdDy14 GGA-PBE relaxed
data_PrNdDy14
_chemical_formula_sum 'Pr2 Nd2 Dy28'
_space_group_name_H-M_alt 'A m m 2'
_space_group_IT_number 38
_space_group_name_Hall 'A 2 -2'
_cell_length_a 11.517
_cell_length_b 7.158
_cell_length_c 12.372
_cell_angle_alpha 90.00
_cell_angle_beta 90.00
_cell_angle_gamma 90.00
loop_
_atom_site_label
_atom_site_type_symbol
_atom_site_fract_x
_atom_site_fract_y
_atom_site_fract_z
Pr1 Pr 0.000 0.000 0.000
Nd1 Nd 0.000 0.000 0.500
Dy1 Dy 0.000 0.250 0.250
Dy2 Dy 0.252 0.000 0.167
Dy3 Dy 0.252 0.000 0.667
Dy4 Dy 0.254 0.250 0.417
Dy5 Dy 0.500 0.000 0.334
Dy6 Dy 0.500 0.000 0.834
Dy7 Dy 0.500 0.250 0.084
# Theoretical density, g/cm3: 8.34
# Energy of formation from the pure elements, meV per atom: 6


[6]
# CaAcGaPd GGA-PBE relaxed
data_CaAcGaPd
_chemical_formula_sum 'Ca2 Ac2 Ga2 Pd2'
_space_group_name_H-M_alt 'A m m 2'
_space_group_IT_number 38
_space_group_name_Hall 'A 2 -2'
_cell_length_a 4.318
_cell_length_b 4.324
_cell_length_c 11.892
_cell_angle_alpha 90.00
_cell_angle_beta 90.00
_cell_angle_gamma 90.00
loop_
_atom_site_label
_atom_site_type_symbol
_atom_site_fract_x
_atom_site_fract_y
_atom_site_fract_z
Ca1 Ca 0.000 0.000 0.000
Ac1 Ac 0.500 0.000 0.282
Ga1 Ga 0.500 0.000 0.566
Pd1 Pd 0.000 0.000 0.702
# Theoretical density, g/cm3: 6.63
# Energy of formation from the pure elements, meV per atom: -616


theoretical density of number 6 (CaAcGaPd)?
6.63 g/cm3